# 1
EuCdRh2: optimized geometry, GGA-PBE.

Structure (POSCAR):
```
EuCdRh2
1.0
-0.907 -3.056 0.500
0.769 -2.283 -2.147
7.320 -3.274 3.680
Eu Cd Rh
1 1 2
Direct
0.500 0.500 0.500
0.000 0.000 0.000
0.748 0.748 0.755
0.252 0.252 0.245
```

***

# 2
Eu2Cd4Rh: optimized geometry, GGA-PBE.

Structure (POSCAR):
```
Eu2Cd4Rh
1.0
5.149 0.000 0.000
0.000 5.149 0.000
2.575 2.575 8.195
Cd Rh Eu
4 1 2
Direct
0.000 0.500 0.000
0.500 0.000 0.000
0.838 0.838 0.324
0.162 0.162 0.676
0.000 0.000 0.000
0.361 0.361 0.277
0.639 0.639 0.723
```

***

# 3
EuCd2Rh: optimized geometry, GGA-PBE.

Structure (POSCAR):
```
EuCd2Rh
1.0
3.376 0.000 0.000
0.000 3.376 0.000
0.000 0.000 7.789
Rh Cd Eu
1 2 1
Direct
0.500 0.500 0.000
0.000 0.000 0.804
0.000 0.000 0.196
0.500 0.500 0.500
```

***

# 4
EuCdRh: optimized geometry, GGA-PBE.

Structure (POSCAR):
```
EuCdRh
1.0
-0.177 3.462 -0.233
-2.441 -0.290 -2.455
-2.661 -1.524 5.285
Rh Eu Cd
1 1 1
Direct
0.271 0.271 0.543
0.933 0.933 0.866
0.646 0.646 0.292
```

Computed properties:
The energy relative to the lowest polymorph listed for this composition is 23 meV/atom.

***

E list, top to bottom, in eV per atom: -6.391; -4.612; -5.038; -6.427